Here is a relaxed structure of LiLaTbCo from Alexandria via LeMat-Bulk. Energies are from PBE.

The calculation puts the spin magnetization at 0.000 μB/atom. As for the calculated formation energy: 0.010 eV/atom. The density of states at the Fermi level comes out at 0.924 states/eV per atom.

Structure (CIF):
```
data_LiLaTbCo
_symmetry_space_group_name_H-M 'F -4 3 m'
_symmetry_Int_Tables_number 216
_symmetry_space_group_name_Hall 'F -4 2 3'
_cell_length_a 7.076
_cell_length_b 7.076
_cell_length_c 7.076
_cell_angle_alpha 90.00
_cell_angle_beta 90.00
_cell_angle_gamma 90.00
loop_
_atom_site_label
_atom_site_type_symbol
_atom_site_fract_x
_atom_site_fract_y
_atom_site_fract_z
Li1 Li 0.000 0.000 0.000
La1 La 0.250 0.250 0.250
Tb1 Tb 0.250 0.250 0.750
Co1 Co 0.000 0.000 0.500
```